# 1
GaCu3Hg | PBE | optimized geometry

Properties
space-group type = Pm-3m (221)
DFT formation energy = 12.31 kcal/mol of atoms
relative energy among the computed polymorphs = 0 meV per atom

a = 4.5481 Å, b = 4.5481 Å, c = 4.5481 Å
α = 90.00°, β = 90.00°, γ = 90.00°
Positions (direct):
Ga 0.0000 0.0000 0.0000
Cu 0.0000 0.0000 0.5000
Cu 0.0000 0.5000 0.0000
Cu 0.5000 0.0000 0.0000
Hg 0.5000 0.5000 0.5000


# 2
GaCuHg2I | PBE | optimized geometry

Properties
space-group type = P4/mmm (123)
E_form (uncorrected) = 0.011 eV per atom

a = 5.2460 Å, b = 5.2460 Å, c = 5.0261 Å
α = 90.00°, β = 90.00°, γ = 90.00°
Positions (direct):
Ga 0.0000 0.0000 0.0000
Cu 0.0000 0.0000 0.5000
Hg 0.0000 0.5000 0.5000
Hg 0.5000 0.0000 0.5000
I 0.5000 0.5000 0.0000


# 3
InGa2CuHg | PBE | optimized geometry

Properties
space-group type = P4/mmm (123)
DFT formation energy = 3.40 kcal/mol of atoms
relative energy among the computed polymorphs = 38 meV per atom

a = 4.6943 Å, b = 4.6943 Å, c = 5.2725 Å
α = 90.00°, β = 90.00°, γ = 90.00°
Positions (direct):
In 0.0000 0.0000 0.0000
Ga 0.0000 0.5000 0.5000
Ga 0.5000 0.0000 0.5000
Cu 0.5000 0.5000 0.5000
Hg 0.5000 0.5000 0.0000


# 4
InGa2CuHg | PBE | optimized geometry

Properties
space-group type = P4/mmm (123)
DFT formation energy = 2.53 kcal/mol of atoms
relative energy among the computed polymorphs = 0 meV per atom

a = 4.7283 Å, b = 4.7283 Å, c = 5.1949 Å
α = 90.00°, β = 90.00°, γ = 90.00°
Positions (direct):
In 0.0000 0.0000 0.0000
Ga 0.0000 0.5000 0.5000
Ga 0.5000 0.0000 0.5000
Cu 0.0000 0.0000 0.5000
Hg 0.5000 0.5000 0.0000


# 5
GaCuHg2Ir | PBE | optimized geometry

Properties
space-group type = P4/mmm (123)
DFT formation energy = 26.90 kcal/mol of atoms

a = 4.9603 Å, b = 4.9603 Å, c = 4.4168 Å
α = 90.00°, β = 90.00°, γ = 90.00°
Positions (direct):
Ga 0.0000 0.0000 0.0000
Cu 0.0000 0.0000 0.5000
Hg 0.0000 0.5000 0.0000
Hg 0.5000 0.0000 0.0000
Ir 0.5000 0.5000 0.5000


# 6
LaGaCuHg | PBE | optimized geometry

Properties
space-group type = F-43m (216)
DFT formation energy = -6.71 kcal/mol of atoms

a = 7.0195 Å, b = 7.0195 Å, c = 7.0195 Å
α = 90.00°, β = 90.00°, γ = 90.00°
Positions (direct):
La 0.0000 0.0000 0.0000
La 0.0000 0.5000 0.5000
La 0.5000 0.0000 0.5000
La 0.5000 0.5000 0.0000
Ga 0.2500 0.2500 0.7500
Ga 0.2500 0.7500 0.2500
Ga 0.7500 0.2500 0.2500
Ga 0.7500 0.7500 0.7500
Cu 0.2500 0.2500 0.2500
Cu 0.2500 0.7500 0.7500
Cu 0.7500 0.2500 0.7500
Cu 0.7500 0.7500 0.2500
Hg 0.0000 0.0000 0.5000
Hg 0.0000 0.5000 0.0000
Hg 0.5000 0.0000 0.0000
Hg 0.5000 0.5000 0.5000


Number 1: energy -2.59 eV per atom. Number 2: energy -1.84 eV per atom. Number 3: energy -2.49 eV per atom. Number 4: energy -2.53 eV per atom. Number 5: energy -2.15 eV per atom. Number 6: energy -3.38 eV per atom.